# 1
Compound: Tc2Sn2Pd
Source: Alexandria
Functional: PBE-GGA
Structure: optimized geometry

Properties
Space group ... P4/mbm (127)
Formation energy from the elements ... 0.19 eV per atom
M_tot ... 0.00 μB per cell
DOS at the Fermi energy ... 1.05 states/eV per atom

Unit cell a=7.145 b=7.145 c=3.568 alpha=90.00 beta=90.00 gamma=90.00
Fractional coordinates of all 10 atoms:
Tc: 0.873 0.627 0.000
Tc: 0.627 0.127 0.000
Tc: 0.373 0.873 0.000
Tc: 0.127 0.373 0.000
Pd: 0.000 0.000 0.000
Pd: 0.500 0.500 0.000
Sn: 0.673 0.827 0.500
Sn: 0.327 0.173 0.500
Sn: 0.173 0.673 0.500
Sn: 0.827 0.327 0.500

---

# 2
Compound: ThTcSnPd
Source: Alexandria
Functional: PBE-GGA
Structure: optimized geometry

Properties
Space group ... F-43m (216)
Formation energy from the elements ... -0.33 eV per atom
M_tot ... 0.00 μB per cell
DOS at the Fermi energy ... 0.84 states/eV per atom

Unit cell a=4.883 b=4.883 c=4.883 alpha=60.00 beta=60.00 gamma=60.00
Fractional coordinates of all 4 atoms:
Th: 0.750 0.750 0.750
Tc: 0.000 0.000 0.000
Pd: 0.500 0.500 0.500
Sn: 0.250 0.250 0.250

---

# 3
Compound: TiTcSnPd2
Source: Alexandria
Functional: PBE-GGA
Structure: optimized geometry

Properties
Space group ... P4/mmm (123)
Formation energy from the elements ... 0.58 eV per atom
M_tot ... 0.00 μB per cell
DOS at the Fermi energy ... 0.81 states/eV per atom

Unit cell a=4.743 b=4.487 c=4.743 alpha=90.00 beta=90.00 gamma=90.00
Fractional coordinates of all 5 atoms:
Sn: 0.500 0.500 0.500
Pd: 0.000 0.000 0.500
Pd: 0.500 0.000 0.000
Tc: 0.000 0.500 0.000
Ti: 0.000 0.000 0.000

---

# 4
Compound: TcSn2PdW
Source: Alexandria
Functional: PBE-GGA
Structure: optimized geometry

Properties
Space group ... P4/mmm (123)
Formation energy from the elements ... 1.73 eV per atom
M_tot ... 0.01 μB per cell
DOS at the Fermi energy ... 2.26 states/eV per atom

Unit cell a=4.911 b=4.755 c=4.911 alpha=90.00 beta=90.00 gamma=90.00
Fractional coordinates of all 5 atoms:
Tc: 0.000 0.500 0.000
Pd: 0.000 0.000 0.000
Sn: 0.500 0.000 0.000
Sn: 0.000 0.000 0.500
W: 0.500 0.500 0.500

---

# 5
Compound: ZnTc2SnPd
Source: Alexandria
Functional: PBE-GGA
Structure: optimized geometry

Properties
Space group ... P4/mmm (123)
Formation energy from the elements ... 1.42 eV per atom
M_tot ... 4.05 μB per cell
DOS at the Fermi energy ... 0.82 states/eV per atom

Unit cell a=4.614 b=4.750 c=4.614 alpha=90.00 beta=90.00 gamma=90.00
Last column: magnetic moment on the atom in μB.
Fractional coordinates of all 5 atoms:
Tc: 0.000 0.000 0.500  1.84
Tc: 0.500 0.000 0.000  1.82
Zn: 0.000 0.000 0.000  0.01
Pd: 0.500 0.500 0.500  0.15
Sn: 0.000 0.500 0.000  -0.08

---

# 6
Compound: SnTe2Pd7
Source: Alexandria
Functional: PBE-GGA
Structure: optimized geometry

Properties
E_form (uncorrected) ... -0.344 eV/atom
Space group ... I4/mmm (139)
M_tot ... 0.00 μB per cell
DOS at the Fermi energy ... 0.58 states/eV per atom

Unit cell a=4.186 b=4.186 c=11.135 alpha=100.83 beta=100.83 gamma=90.00
Fractional coordinates of all 10 atoms:
Pd: 0.911 0.411 0.822
Pd: 0.750 0.250 0.500
Pd: 0.089 0.589 0.178
Pd: 0.250 0.750 0.500
Pd: 0.500 0.500 0.000
Pd: 0.411 0.911 0.822
Pd: 0.589 0.089 0.178
Sn: 0.000 0.000 0.000
Te: 0.669 0.669 0.338
Te: 0.331 0.331 0.662

---

# 7
Compound: SnTe2Pd
Source: Alexandria
Functional: PBE-GGA
Structure: optimized geometry

Properties
E_form (uncorrected) ... -0.173 eV/atom
Space group ... Imm2 (44)
M_tot ... 0.00 μB per cell
DOS at the Fermi energy ... 0.39 states/eV per atom

Unit cell a=3.854 b=6.605 c=6.605 alpha=45.38 beta=73.07 gamma=73.08
Fractional coordinates of all 4 atoms:
Pd: 0.750 0.828 0.672
Te: 0.091 0.871 0.947
Te: 0.409 0.553 0.629
Sn: 0.250 0.248 0.252

---

# 8
Compound: Sn2Te2Pd7
Source: Alexandria
Functional: PBE-GGA
Structure: optimized geometry

Properties
E_form (uncorrected) ... -0.333 eV/atom
Space group ... C2/m (12)
M_tot ... 0.00 μB per cell
DOS at the Fermi energy ... 0.47 states/eV per atom

Unit cell a=5.202 b=6.715 c=6.715 alpha=94.03 beta=73.94 gamma=73.94
Fractional coordinates of all 11 atoms:
Pd: 0.313 0.925 0.414
Pd: 0.687 0.586 0.075
Pd: 0.005 0.660 0.660
Pd: 0.687 0.075 0.586
Pd: 0.995 0.340 0.340
Pd: 0.500 0.000 0.000
Pd: 0.313 0.414 0.925
Sn: 0.000 0.252 0.748
Sn: 0.000 0.748 0.252
Te: 0.536 0.275 0.275
Te: 0.464 0.725 0.725